Entry 1:
SmBiPd | GGA-PBE | optimized geometry Values from VASP.

Geometry as Quantum ESPRESSO input:
```
&SYSTEM
  ibrav = 0, nat = 3, ntyp = 3
/
ATOMIC_SPECIES
Pd 106.42 Pd.upf
Bi 208.98 Bi.upf
Sm 150.36 Sm.upf
ATOMIC_POSITIONS crystal
Pd 0.962 0.962 0.925
Bi 0.278 0.278 0.556
Sm 0.610 0.610 0.219
CELL_PARAMETERS angstrom
4.105 0.000 0.000
0.000 4.105 0.000
-2.052 -2.052 4.592
```

Results
ΔH_f (0 K) ... -525 meV/atom
DOS(E_F) ... 0.76 states/eV per atom
Crystal system ... tetragonal
Magnetic moment ... 0.00 Bohr magnetons per cell

Entry 2:
SmBi3Pd6 | GGA-PBE | optimized geometry Values from VASP.

Geometry as Quantum ESPRESSO input:
```
&SYSTEM
  ibrav = 0, nat = 10, ntyp = 3
/
ATOMIC_SPECIES
Sm 150.36 Sm.upf
Pd 106.42 Pd.upf
Bi 208.98 Bi.upf
ATOMIC_POSITIONS crystal
Sm 0.274 0.000 0.000
Pd 0.821 0.229 0.000
Bi 0.805 0.587 0.000
Pd 0.821 0.000 0.229
Pd 0.592 0.771 0.771
Pd 0.304 0.000 0.587
Pd 0.717 0.413 0.413
Bi 0.805 0.000 0.587
Pd 0.304 0.587 0.000
Bi 0.218 0.413 0.413
CELL_PARAMETERS angstrom
5.431 0.000 0.000
-1.810 7.031 0.000
-1.810 -3.515 6.089
```

Results
ΔH_f (0 K) ... -259 meV/atom
DOS(E_F) ... 0.36 states/eV per atom
Crystal system ... trigonal
Magnetic moment ... 0.00 Bohr magnetons per cell

Entry 3:
SmBi4Pd15 | GGA-PBE | optimized geometry Values from VASP.

Geometry as Quantum ESPRESSO input:
```
&SYSTEM
  ibrav = 0, nat = 20, ntyp = 3
/
ATOMIC_SPECIES
Bi 208.98 Bi.upf
Pd 106.42 Pd.upf
Sm 150.36 Sm.upf
ATOMIC_POSITIONS crystal
Bi 0.000 0.000 0.200
Pd 0.500 0.000 0.699
Bi 0.000 0.000 0.600
Pd 0.000 0.500 0.102
Pd 0.000 0.500 0.898
Pd 0.500 0.500 0.600
Pd 0.500 0.500 0.797
Bi 0.000 0.000 0.800
Pd 0.000 0.500 0.500
Pd 0.500 0.000 0.301
Pd 0.500 0.500 0.400
Pd 0.500 0.000 0.898
Bi 0.000 0.000 0.400
Pd 0.500 0.000 0.102
Pd 0.500 0.500 0.000
Pd 0.000 0.500 0.699
Sm 0.000 0.000 0.000
Pd 0.000 0.500 0.301
Pd 0.500 0.500 0.203
Pd 0.500 0.000 0.500
CELL_PARAMETERS angstrom
-0.721 -4.078 0.338
1.452 0.066 3.893
-18.996 3.938 7.018
```

Results
ΔH_f (0 K) ... -348 meV/atom
DOS(E_F) ... 0.51 states/eV per atom
Crystal system ... tetragonal
Magnetic moment ... 0.00 Bohr magnetons per cell

Entry 4:
SmBi2Pd | GGA-PBE | optimized geometry Values from VASP.

Geometry as Quantum ESPRESSO input:
```
&SYSTEM
  ibrav = 0, nat = 4, ntyp = 3
/
ATOMIC_SPECIES
Pd 106.42 Pd.upf
Bi 208.98 Bi.upf
Sm 150.36 Sm.upf
ATOMIC_POSITIONS crystal
Pd 0.500 0.500 0.500
Bi 0.000 0.000 0.500
Bi 0.000 0.500 0.000
Sm 0.500 0.000 0.000
CELL_PARAMETERS angstrom
-1.974 3.757 0.589
-4.324 -2.148 -0.790
-0.397 -0.958 4.781
```

Results
ΔH_f (0 K) ... -513 meV/atom
DOS(E_F) ... 0.36 states/eV per atom
Crystal system ... tetragonal
Magnetic moment ... 0.00 Bohr magnetons per cell

Entry 5:
Sm2Bi2Pd15 | GGA-PBE | optimized geometry Values from VASP.

Geometry as Quantum ESPRESSO input:
```
&SYSTEM
  ibrav = 0, nat = 19, ntyp = 3
/
ATOMIC_SPECIES
Pd 106.42 Pd.upf
Sm 150.36 Sm.upf
Bi 208.98 Bi.upf
ATOMIC_POSITIONS crystal
Pd 0.174 0.661 0.661
Pd 0.661 0.661 0.174
Pd 0.339 0.826 0.339
Sm 0.641 0.641 0.641
Bi 0.893 0.893 0.893
Pd 0.335 0.000 0.665
Pd 0.665 0.000 0.335
Pd 0.339 0.339 0.826
Pd 0.000 0.000 0.500
Pd 0.826 0.339 0.339
Pd 0.500 0.000 0.000
Pd 0.000 0.665 0.335
Pd 0.000 0.335 0.665
Pd 0.000 0.500 0.000
Pd 0.661 0.174 0.661
Bi 0.107 0.107 0.107
Sm 0.359 0.359 0.359
Pd 0.665 0.335 0.000
Pd 0.335 0.665 0.000
CELL_PARAMETERS angstrom
7.119 0.024 0.022
0.948 7.055 0.022
0.948 0.832 7.006
```

Results
ΔH_f (0 K) ... -358 meV/atom
DOS(E_F) ... 1.15 states/eV per atom
Crystal system ... trigonal
Magnetic moment ... 0.00 Bohr magnetons per cell

Entry 6:
SmBi2Pd7 | GGA-PBE | optimized geometry Values from VASP.

Geometry as Quantum ESPRESSO input:
```
&SYSTEM
  ibrav = 0, nat = 10, ntyp = 3
/
ATOMIC_SPECIES
Sm 150.36 Sm.upf
Pd 106.42 Pd.upf
Bi 208.98 Bi.upf
ATOMIC_POSITIONS crystal
Sm 0.000 0.000 0.000
Pd 0.000 0.801 0.199
Pd 0.500 0.284 0.079
Pd 0.000 0.199 0.801
Pd 0.500 0.500 0.500
Bi 0.500 0.307 0.693
Pd 0.500 0.716 0.921
Pd 0.500 0.079 0.284
Bi 0.500 0.693 0.307
Pd 0.500 0.921 0.716
CELL_PARAMETERS angstrom
4.361 0.000 0.000
0.000 8.000 -0.567
0.000 -4.038 6.929
```

Results
ΔH_f (0 K) ... -162 meV/atom
DOS(E_F) ... 0.47 states/eV per atom
Crystal system ... orthorhombic
Magnetic moment ... 0.00 Bohr magnetons per cell
Energy above the lowest structure with this stoichiometry ... 0.2647 eV/atom

Entry 7:
Sm4BiPd | GGA-PBE | optimized geometry Values from VASP.

Geometry as Quantum ESPRESSO input:
```
&SYSTEM
  ibrav = 0, nat = 12, ntyp = 3
/
ATOMIC_SPECIES
Sm 150.36 Sm.upf
Pd 106.42 Pd.upf
Bi 208.98 Bi.upf
ATOMIC_POSITIONS crystal
Sm 0.449 0.823 0.898
Pd 0.417 0.322 0.834
Sm 0.551 0.323 0.102
Bi 0.853 0.822 0.706
Sm 0.110 0.822 0.220
Pd 0.583 0.822 0.166
Sm 0.890 0.322 0.780
Sm 0.295 0.070 0.591
Sm 0.296 0.574 0.591
Sm 0.705 0.570 0.409
Sm 0.704 0.074 0.409
Bi 0.147 0.322 0.294
CELL_PARAMETERS angstrom
5.645 0.000 0.000
0.000 6.472 0.000
-2.822 0.000 10.297
```

Results
ΔH_f (0 K) ... -435 meV/atom
DOS(E_F) ... 1.00 states/eV per atom
Crystal system ... orthorhombic
Magnetic moment ... 0.00 Bohr magnetons per cell

Entry 8:
SmBi2Pd7 | GGA-PBE | optimized geometry Values from VASP.

Geometry as Quantum ESPRESSO input:
```
&SYSTEM
  ibrav = 0, nat = 10, ntyp = 3
/
ATOMIC_SPECIES
Pd 106.42 Pd.upf
Sm 150.36 Sm.upf
Bi 208.98 Bi.upf
ATOMIC_POSITIONS crystal
Pd 0.411 0.911 0.821
Pd 0.750 0.250 0.500
Pd 0.589 0.089 0.179
Sm 0.000 0.000 0.000
Pd 0.089 0.589 0.179
Pd 0.250 0.750 0.500
Bi 0.331 0.331 0.662
Pd 0.911 0.411 0.821
Pd 0.500 0.500 0.000
Bi 0.669 0.669 0.338
CELL_PARAMETERS angstrom
-2.856 0.902 2.814
-2.950 -0.639 -2.789
2.395 -11.619 3.154
```

Results
ΔH_f (0 K) ... -427 meV/atom
DOS(E_F) ... 0.32 states/eV per atom
Crystal system ... tetragonal
Magnetic moment ... 0.00 Bohr magnetons per cell
Energy above the lowest structure with this stoichiometry ... 0.0000 eV/atom

Entry 9:
Sm3BiPd12 | GGA-PBE | optimized geometry Values from VASP.

Geometry as Quantum ESPRESSO input:
```
&SYSTEM
  ibrav = 0, nat = 16, ntyp = 3
/
ATOMIC_SPECIES
Pd 106.42 Pd.upf
Sm 150.36 Sm.upf
Bi 208.98 Bi.upf
ATOMIC_POSITIONS crystal
Pd 0.500 0.500 0.245
Sm 0.000 0.000 0.251
Pd 0.500 0.500 0.500
Pd 0.500 0.000 0.374
Pd 0.500 0.500 0.000
Pd 0.000 0.500 0.626
Pd 0.500 0.000 0.122
Pd 0.000 0.500 0.878
Pd 0.000 0.500 0.122
Pd 0.500 0.000 0.626
Pd 0.000 0.500 0.374
Pd 0.500 0.500 0.755
Pd 0.500 0.000 0.878
Sm 0.000 0.000 0.749
Bi 0.000 0.000 0.000
Sm 0.000 0.000 0.500
CELL_PARAMETERS angstrom
-2.110 -2.794 2.263
2.801 0.369 3.066
-8.984 12.239 6.733
```

Results
ΔH_f (0 K) ... -671 meV/atom
DOS(E_F) ... 0.37 states/eV per atom
Crystal system ... tetragonal
Magnetic moment ... 0.00 Bohr magnetons per cell

Entry 10:
SmBiPd5 | GGA-PBE | optimized geometry Values from VASP.

Geometry as Quantum ESPRESSO input:
```
&SYSTEM
  ibrav = 0, nat = 28, ntyp = 3
/
ATOMIC_SPECIES
Pd 106.42 Pd.upf
Sm 150.36 Sm.upf
Bi 208.98 Bi.upf
ATOMIC_POSITIONS crystal
Pd 0.505 0.436 0.196
Pd 0.750 0.403 0.977
Pd 0.750 0.903 0.523
Pd 0.750 0.072 0.917
Sm 0.250 0.758 0.549
Pd 0.250 0.428 0.417
Sm 0.250 0.258 0.951
Sm 0.750 0.242 0.451
Pd 0.750 0.817 0.767
Pd 0.750 0.572 0.583
Pd 0.995 0.436 0.196
Pd 0.495 0.064 0.696
Pd 0.250 0.683 0.267
Pd 0.995 0.936 0.304
Bi 0.750 0.653 0.349
Pd 0.005 0.564 0.804
Pd 0.250 0.928 0.083
Pd 0.250 0.097 0.477
Pd 0.005 0.064 0.696
Pd 0.750 0.317 0.733
Pd 0.505 0.936 0.304
Bi 0.750 0.153 0.151
Pd 0.250 0.597 0.023
Pd 0.495 0.564 0.804
Sm 0.750 0.742 0.049
Bi 0.250 0.347 0.651
Pd 0.250 0.183 0.233
Bi 0.250 0.847 0.849
CELL_PARAMETERS angstrom
-1.112 -3.170 4.391
-2.488 -6.574 -5.375
10.322 -3.801 -0.130
```

Results
ΔH_f (0 K) ... -512 meV/atom
DOS(E_F) ... 0.60 states/eV per atom
Crystal system ... orthorhombic
Magnetic moment ... 0.00 Bohr magnetons per cell

Entry 11:
Sm2BiPd9 | GGA-PBE | optimized geometry Values from VASP.

Geometry as Quantum ESPRESSO input:
```
&SYSTEM
  ibrav = 0, nat = 12, ntyp = 3
/
ATOMIC_SPECIES
Pd 106.42 Pd.upf
Bi 208.98 Bi.upf
Sm 150.36 Sm.upf
ATOMIC_POSITIONS crystal
Pd 0.500 0.500 0.672
Pd 0.500 0.500 0.000
Pd 0.500 0.000 0.163
Pd 0.000 0.500 0.500
Bi 0.000 0.000 0.000
Pd 0.500 0.000 0.500
Pd 0.500 0.500 0.328
Sm 0.000 0.000 0.665
Sm 0.000 0.000 0.335
Pd 0.000 0.500 0.163
Pd 0.500 0.000 0.837
Pd 0.000 0.500 0.837
CELL_PARAMETERS angstrom
4.165 0.000 0.000
0.000 4.165 0.000
0.000 0.000 12.449
```

Results
ΔH_f (0 K) ... -625 meV/atom
DOS(E_F) ... 0.27 states/eV per atom
Crystal system ... tetragonal
Magnetic moment ... 0.00 Bohr magnetons per cell

Entry 12:
SmBi2Pd | GGA-PBE | optimized geometry Values from VASP.

Geometry as Quantum ESPRESSO input:
```
&SYSTEM
  ibrav = 0, nat = 4, ntyp = 3
/
ATOMIC_SPECIES
Sm 150.36 Sm.upf
Bi 208.98 Bi.upf
Pd 106.42 Pd.upf
ATOMIC_POSITIONS crystal
Sm 0.000 0.000 0.000
Bi 0.897 0.897 0.308
Pd 0.500 0.500 0.500
Bi 0.103 0.103 0.692
CELL_PARAMETERS angstrom
-1.151 -2.342 2.403
1.811 -2.998 0.564
5.884 3.032 8.393
```

Results
ΔH_f (0 K) ... -92 meV/atom
DOS(E_F) ... 0.88 states/eV per atom
Crystal system ... trigonal
Magnetic moment ... 0.00 Bohr magnetons per cell